CsBaCd2Sb | PBE | optimized geometry

Output
Uncorrected formation energy in eV per atom: 0.683
D(E_F) in states/eV per atom: 0.421
Magnetic moment in μB/f.u.: 0.000

Cell lengths 6.119, 6.119, 7.579 Å; angles 90.00, 90.00, 90.00 degrees
Element x y z (fractional)
Cs1 0.000 0.000 0.000
Ba1 0.000 0.000 0.500
Cd1 0.000 0.500 0.000
Cd2 0.500 0.000 0.000
Sb1 0.500 0.500 0.500